1.
A plane-wave DFT calculation with PBE was carried out for an optimized crystal structure of Sr11Mg2Si10. Values from VASP.

Quantum ESPRESSO input file:
```
&SYSTEM
  ibrav = 0, nat = 23, ntyp = 3
/
ATOMIC_SPECIES
Sr 87.62 Sr.upf
Mg 24.30 Mg.upf
Si 28.09 Si.upf
CELL_PARAMETERS angstrom
9.863 -2.383 0.000
9.863 2.383 0.000
-5.615 0.000 13.789
ATOMIC_POSITIONS crystal
Sr 0.000 0.000 0.000
Sr 0.072 0.072 0.442
Sr 0.144 0.144 0.717
Sr 0.294 0.294 0.622
Sr 0.343 0.343 0.896
Sr 0.483 0.483 0.197
Sr 0.517 0.517 0.803
Sr 0.657 0.657 0.104
Sr 0.706 0.706 0.378
Sr 0.856 0.856 0.283
Sr 0.928 0.928 0.558
Mg 0.280 0.280 0.083
Mg 0.720 0.720 0.917
Si 0.111 0.111 0.237
Si 0.143 0.143 0.930
Si 0.240 0.240 0.253
Si 0.331 0.331 0.421
Si 0.454 0.454 0.416
Si 0.546 0.546 0.584
Si 0.669 0.669 0.579
Si 0.760 0.760 0.747
Si 0.857 0.857 0.070
Si 0.889 0.889 0.763
```

Values from the calculation:
Calculated total energy: -3.733 eV per atom
Raw formation energy: -0.43 eV per atom

---

2.
A plane-wave DFT calculation with PBE was carried out for an optimized crystal structure of Sr2MgSi. Values from VASP.

Quantum ESPRESSO input file:
```
&SYSTEM
  ibrav = 0, nat = 4, ntyp = 3
/
ATOMIC_SPECIES
Sr 87.62 Sr.upf
Mg 24.30 Mg.upf
Si 28.09 Si.upf
CELL_PARAMETERS angstrom
4.585 0.000 0.000
0.000 2.412 6.022
0.000 -2.412 6.022
ATOMIC_POSITIONS crystal
Sr 0.000 0.000 0.000
Sr 0.500 0.287 0.287
Mg 0.000 0.691 0.691
Si 0.500 0.571 0.571
```

Values from the calculation:
Calculated total energy: -2.800 eV per atom
Raw formation energy: -0.20 eV per atom

---

3.
A plane-wave DFT calculation with PBE was carried out for an optimized crystal structure of Sr4Mg5Si6. Values from VASP.

Quantum ESPRESSO input file:
```
&SYSTEM
  ibrav = 0, nat = 30, ntyp = 3
/
ATOMIC_SPECIES
Sr 87.62 Sr.upf
Mg 24.30 Mg.upf
Si 28.09 Si.upf
CELL_PARAMETERS angstrom
2.277 -10.260 0.000
2.277 10.260 0.000
0.000 0.000 16.682
ATOMIC_POSITIONS crystal
Sr 0.013 0.987 0.500
Sr 0.028 0.972 0.754
Sr 0.170 0.830 0.302
Sr 0.177 0.823 0.939
Sr 0.823 0.177 0.439
Sr 0.830 0.170 0.802
Sr 0.972 0.028 0.254
Sr 0.987 0.013 0.000
Mg 0.151 0.849 0.620
Mg 0.297 0.703 0.618
Mg 0.344 0.656 0.257
Mg 0.351 0.649 0.985
Mg 0.440 0.560 0.651
Mg 0.560 0.440 0.151
Mg 0.649 0.351 0.485
Mg 0.656 0.344 0.757
Mg 0.703 0.297 0.118
Mg 0.849 0.151 0.120
Si 0.119 0.881 0.120
Si 0.218 0.782 0.483
Si 0.222 0.778 0.757
Si 0.428 0.572 0.124
Si 0.441 0.559 0.385
Si 0.449 0.551 0.857
Si 0.551 0.449 0.357
Si 0.559 0.441 0.885
Si 0.572 0.428 0.624
Si 0.778 0.222 0.257
Si 0.782 0.218 0.983
Si 0.881 0.119 0.620
```

Values from the calculation:
Calculated total energy: -3.398 eV per atom
Raw formation energy: -0.25 eV per atom

---

4.
A plane-wave DFT calculation with PBE was carried out for an optimized crystal structure of SrMg5Si2. Values from VASP.

Quantum ESPRESSO input file:
```
&SYSTEM
  ibrav = 0, nat = 8, ntyp = 3
/
ATOMIC_SPECIES
Sr 87.62 Sr.upf
Mg 24.30 Mg.upf
Si 28.09 Si.upf
CELL_PARAMETERS angstrom
-2.157 4.045 5.325
2.157 -4.045 5.325
2.157 4.045 -5.325
ATOMIC_POSITIONS crystal
Sr 0.000 0.000 0.000
Mg 0.163 0.348 0.815
Mg 0.467 0.652 0.815
Mg 0.500 0.000 0.500
Mg 0.533 0.348 0.185
Mg 0.837 0.652 0.185
Si 0.244 0.744 0.500
Si 0.756 0.256 0.500
```

Values from the calculation:
Calculated total energy: -2.758 eV per atom
Raw formation energy: -0.19 eV per atom

---

5.
A plane-wave DFT calculation with PBE was carried out for an optimized crystal structure of Sr3MgSi. Values from VASP.

Quantum ESPRESSO input file:
```
&SYSTEM
  ibrav = 0, nat = 5, ntyp = 3
/
ATOMIC_SPECIES
Sr 87.62 Sr.upf
Mg 24.30 Mg.upf
Si 28.09 Si.upf
CELL_PARAMETERS angstrom
6.093 0.000 0.000
0.000 6.093 0.000
0.000 0.000 6.093
ATOMIC_POSITIONS crystal
Sr 0.000 0.000 0.500
Sr 0.000 0.500 0.000
Sr 0.500 0.000 0.000
Mg 0.500 0.500 0.500
Si 0.000 0.000 0.000
```

Values from the calculation:
Calculated total energy: -2.439 eV per atom
Raw formation energy: -0.03 eV per atom

---

6.
A plane-wave DFT calculation with PBE was carried out for an optimized crystal structure of SrMg2Si2. Values from VASP.

Quantum ESPRESSO input file:
```
&SYSTEM
  ibrav = 0, nat = 10, ntyp = 3
/
ATOMIC_SPECIES
Sr 87.62 Sr.upf
Mg 24.30 Mg.upf
Si 28.09 Si.upf
CELL_PARAMETERS angstrom
8.231 0.000 0.000
0.000 8.231 0.000
0.000 0.000 3.129
ATOMIC_POSITIONS crystal
Sr 0.000 0.000 0.000
Sr 0.500 0.500 0.000
Mg 0.124 0.376 0.000
Mg 0.376 0.876 0.000
Mg 0.624 0.124 0.000
Mg 0.876 0.624 0.000
Si 0.170 0.670 0.500
Si 0.330 0.170 0.500
Si 0.670 0.830 0.500
Si 0.830 0.330 0.500
```

Values from the calculation:
Calculated total energy: -3.193 eV per atom
Raw formation energy: -0.05 eV per atom

---

Question: What is the formula in the fifth record?
Answer: Sr3MgSi